[1]
VASP calculation (meta-GGA SCAN) on a crystal of BeInGeOs2 relaxed with PBEsol.

Geometry as CIF:
```
data_BeInGeOs2
_chemical_formula_sum 'Be1 In1 Ge1 Os2'
_space_group_name_H-M_alt 'P 4/m m m'
_space_group_IT_number 123
_space_group_name_Hall '-P 4 2'
_cell_length_a 4.523
_cell_length_b 4.523
_cell_length_c 4.783
_cell_angle_alpha 90.00
_cell_angle_beta 90.00
_cell_angle_gamma 90.00
loop_
_atom_site_label
_atom_site_fract_x
_atom_site_fract_y
_atom_site_fract_z
_atom_site_occupancy
Be1 0.000 0.000 0.000 1
In1 0.500 0.500 0.000 1
Ge1 0.500 0.500 0.500 1
Os1 0.000 0.500 0.500 1
```

As for the energy: -38.322 eV/atom. The calculation puts the energy of formation from the pure elements at 1.80 eV per atom.

***

[2]
VASP calculation (meta-GGA SCAN) on a crystal of TlRe2Mo relaxed with PBEsol.

Geometry as CIF:
```
data_TlRe2Mo
_chemical_formula_sum 'Tl3 Re6 Mo3'
_space_group_name_H-M_alt 'R 3 m'
_space_group_IT_number 160
_space_group_name_Hall 'R 3 -2"'
_cell_length_a 2.8556
_cell_length_b 2.8556
_cell_length_c 27.8837
_cell_angle_alpha 90.00
_cell_angle_beta 90.00
_cell_angle_gamma 120.00
loop_
_atom_site_label
_atom_site_fract_x
_atom_site_fract_y
_atom_site_fract_z
_atom_site_occupancy
Tl1 0.0000 0.0000 0.0000 1
Re1 0.0000 0.0000 0.4980 1
Re2 0.0000 0.0000 0.7567 1
Mo1 0.0000 0.0000 0.2437 1
```

As for the energy: -61.802 eV/atom. For the excess energy over the best structure of this formula in the dataset, the calculation gives 0.000 eV/atom. The calculation puts the energy of formation from the pure elements at 0.56 eV per atom.

***

[3]
VASP calculation (meta-GGA SCAN) on a crystal of ScBiSe2 relaxed with PBEsol.

Geometry as CIF:
```
data_ScBiSe2
_chemical_formula_sum 'Sc3 Bi3 Se6'
_space_group_name_H-M_alt 'R -3 m'
_space_group_IT_number 166
_space_group_name_Hall '-R 3 2"'
_cell_length_a 3.7402
_cell_length_b 3.7402
_cell_length_c 26.3967
_cell_angle_alpha 90.00
_cell_angle_beta 90.00
_cell_angle_gamma 120.00
loop_
_atom_site_label
_atom_site_fract_x
_atom_site_fract_y
_atom_site_fract_z
_atom_site_occupancy
Sc1 0.0000 0.0000 0.0000 1
Bi1 0.0000 0.0000 0.5000 1
Se1 0.0000 0.0000 0.3917 1
```

As for the energy: -34.414 eV/atom. Its formation energy from raw total energies is -451.7 kJ/mol of formula units.

***

[4]
VASP calculation (meta-GGA SCAN) on a crystal of GeSOF2 relaxed with PBEsol.

Geometry as CIF:
```
data_GeSOF2
_chemical_formula_sum 'Ge1 S1 O1 F2'
_space_group_name_H-M_alt 'P 4/m m m'
_space_group_IT_number 123
_space_group_name_Hall '-P 4 2'
_cell_length_a 4.548
_cell_length_b 4.548
_cell_length_c 3.400
_cell_angle_alpha 90.00
_cell_angle_beta 90.00
_cell_angle_gamma 90.00
loop_
_atom_site_label
_atom_site_fract_x
_atom_site_fract_y
_atom_site_fract_z
_atom_site_occupancy
Ge1 0.000 0.000 0.000 1
S1 0.500 0.500 0.500 1
O1 0.500 0.500 0.000 1
F1 0.000 0.500 0.500 1
```

As for the energy: -8.726 eV/atom. For the excess energy over the best structure of this formula in the dataset, the calculation gives 0.481 eV/atom. Its formation energy from raw total energies is -154.5 kJ/mol of formula units.

***

[5]
VASP calculation (meta-GGA SCAN) on a crystal of ZnIrCl2 relaxed with PBEsol.

Geometry as CIF:
```
data_ZnIrCl2
_chemical_formula_sum 'Zn3 Ir3 Cl6'
_space_group_name_H-M_alt 'R -3 m'
_space_group_IT_number 166
_space_group_name_Hall '-R 3 2"'
_cell_length_a 3.5425
_cell_length_b 3.5425
_cell_length_c 27.2349
_cell_angle_alpha 90.00
_cell_angle_beta 90.00
_cell_angle_gamma 120.00
loop_
_atom_site_label
_atom_site_fract_x
_atom_site_fract_y
_atom_site_fract_z
_atom_site_occupancy
Zn1 0.0000 0.0000 0.0000 1
Ir1 0.0000 0.0000 0.5000 1
Cl1 0.0000 0.0000 0.1195 1
```

As for the energy: -24.743 eV/atom. For the excess energy over the best structure of this formula in the dataset, the calculation gives 0.549 eV/atom. Its formation energy from raw total energies is 154.3 kJ/mol of formula units.

***

[6]
VASP calculation (meta-GGA SCAN) on a crystal of ScMn2Rh2 relaxed with PBEsol.

Geometry as CIF:
```
data_ScMn2Rh2
_chemical_formula_sum 'Sc2 Mn4 Rh4'
_space_group_name_H-M_alt 'I 4/m m m'
_space_group_IT_number 139
_space_group_name_Hall '-I 4 2'
_cell_length_a 3.237
_cell_length_b 3.237
_cell_length_c 13.374
_cell_angle_alpha 90.00
_cell_angle_beta 90.00
_cell_angle_gamma 90.00
loop_
_atom_site_label
_atom_site_fract_x
_atom_site_fract_y
_atom_site_fract_z
_atom_site_occupancy
Sc1 0.000 0.000 0.000 1
Mn1 0.000 0.500 0.250 1
Rh1 0.000 0.000 0.395 1
```

As for the energy: -23.741 eV/atom. The calculation puts the energy of formation from the pure elements at -0.08 eV per atom.